## a
The following is a PBE calculation of crystalline Cd3NiMo at its relaxed geometry, from Alexandria via LeMat-Bulk.

Output
N(E_F) = 3.67 states/eV per cell
spin magnetization = 0.2 μB per cell
symmetry = Pm-3m (221)

abc: 4.734 4.734 4.734
angles: 90.00 90.00 90.00
Element x y z (fractional)
Cd1 0.000 0.000 0.500
Cd2 0.000 0.500 0.000
Cd3 0.500 0.000 0.000
Ni1 0.000 0.000 0.000
Mo1 0.500 0.500 0.500


## b
The following is a PBE calculation of crystalline Cd3NiMo at its relaxed geometry, from Alexandria via LeMat-Bulk.

Output
N(E_F) = 6.52 states/eV per cell
spin magnetization = 3.3 μB per cell
symmetry = Pm-3m (221)

abc: 5.327 5.327 5.327
angles: 90.00 90.00 90.00
Element x y z (fractional)
Cd1 0.000 0.000 0.500
Cd2 0.000 0.500 0.000
Cd3 0.500 0.000 0.000
Ni1 0.500 0.500 0.500
Mo1 0.000 0.000 0.000


Most stable: a (next structure +497 meV per atom)